The following is a DFT calculation (PBE) of a geometry-optimized TeRhAu structure.

```
TeRhAu
1.0
1.842 -3.191 0.000
1.842 3.191 0.000
0.000 0.000 5.543
Te Rh Au
1 1 1
direct
0.333 0.667 0.611
0.667 0.333 0.349
0.000 0.000 0.041
```

Computed properties:
As for the relative energy among the computed polymorphs: 0.044 eV/atom. Its total magnetization is 0.0 μB/cell.